Entry from the Open Quantum Materials Database: a relaxed Pm2H6Os crystal (PBE).

Calculated values
crystal system = cubic
E_tot = -45.2 eV/f.u.

The structure in CIF format:
```
data_Pm2H6Os
_chemical_formula_sum 'Pm8 H24 Os4'
_space_group_name_H-M_alt 'F m -3 m'
_space_group_IT_number 225
_space_group_name_Hall '-F 4 2 3'
_cell_length_a 7.301
_cell_length_b 7.301
_cell_length_c 7.301
_cell_angle_alpha 90.00
_cell_angle_beta 90.00
_cell_angle_gamma 90.00
loop_
_atom_site_label
_atom_site_type_symbol
_atom_site_fract_x
_atom_site_fract_y
_atom_site_fract_z
Pm1 Pm 0.250 0.250 0.250
H1 H 0.000 0.000 0.240
Os1 Os 0.000 0.000 0.000
```